Sr3Sc3N5 | PBE | optimized geometry

Properties
Symmetry ... P-1
Total DFT energy (no corrections) ... -7.170 eV/atom
Magnetization ... 0.000 μB/f.u.
Energy relative to the elements, uncorrected ... -1200 meV/atom
Mass density ... 3.92 g/cm³

Lattice parameters (Å, degrees): 6.149 8.115 9.183 109.45 105.10 101.37
Fractional coordinates of all 22 atoms:
Sr: 0.173 0.346 0.390
Sr: 0.195 0.133 0.711
Sr: 0.242 0.932 0.096
Sr: 0.758 0.068 0.904
Sr: 0.805 0.867 0.289
Sr: 0.827 0.654 0.610
Sc: 0.210 0.467 0.084
Sc: 0.384 0.637 0.798
Sc: 0.396 0.809 0.472
Sc: 0.604 0.191 0.528
Sc: 0.616 0.363 0.202
Sc: 0.790 0.533 0.916
N: 0.130 0.577 0.903
N: 0.258 0.754 0.639
N: 0.260 0.999 0.393
N: 0.267 0.209 0.022
N: 0.494 0.590 0.315
N: 0.506 0.410 0.685
N: 0.733 0.791 0.978
N: 0.740 0.001 0.607
N: 0.742 0.246 0.361
N: 0.870 0.423 0.097